[1]
Computed, not measured: a relaxed LiHg2Br crystal at the GGA-PBE level of DFT.

distance to the lowest polymorph of the same formula: 235 meV per atom
total moment: 0.0 μB/f.u.

Lattice parameters (Å, degrees): 5.4194 10.1642 4.1166 90.00 90.00 90.00
Space group Cmmm (No. 65)
One atom of each set of equivalent atoms:
Li (0.0000, 0.0000, 0.0000) [2 per cell]
Hg (0.2500, 0.2500, 0.5000) [4 per cell]
Br (0.0000, 0.5000, 0.0000) [2 per cell]


[2]
Computed, not measured: a relaxed Li3Hg5Br12 crystal at the GGA-PBE level of DFT.

final energy: -318.5 eV for the cell shown
total moment: 0.0 μB/f.u.

Lattice parameters (Å, degrees): 17.3560 17.3560 17.3560 90.00 90.00 90.00
Space group Ia-3d (No. 230)
One atom of each set of equivalent atoms:
Li (0.0000, 0.2500, 0.1250) [24 per cell]
Hg (0.0000, 0.0000, 0.0000) [16 per cell]
Hg (0.0000, 0.2500, 0.3750) [24 per cell]
Br (0.0208, 0.0631, 0.6546) [96 per cell]


[3]
Computed, not measured: a relaxed LiHg2Br5 crystal at the GGA-PBE level of DFT.

distance to the lowest polymorph of the same formula: 0 meV per atom
total moment: 0.0 μB/f.u.

Lattice parameters (Å, degrees): 6.9216 7.1961 7.7175 64.20 76.64 63.29
Space group P1 (No. 1)
One atom of each set of equivalent atoms:
Li (0.0000, 0.0000, 0.0000) [1 per cell]
Hg (0.6370, 0.6472, 0.9638) [1 per cell]
Hg (0.9522, 0.5083, 0.4318) [1 per cell]
Br (0.2477, 0.6540, 0.3140) [1 per cell]
Br (0.3220, 0.8998, 0.7511) [1 per cell]
Br (0.6610, 0.9057, 0.1542) [1 per cell]
Br (0.7483, 0.2877, 0.6757) [1 per cell]
Br (0.9877, 0.3195, 0.0943) [1 per cell]


[4]
Computed, not measured: a relaxed LiHg2Br2 crystal at the GGA-PBE level of DFT.

final energy: -17.3 eV for the cell shown
total moment: 0.0 μB/f.u.

Lattice parameters (Å, degrees): 7.5259 7.5259 5.6498 90.00 90.00 90.00
Space group P4/mbm (No. 127)
One atom of each set of equivalent atoms:
Li (0.0000, 0.0000, 0.0000) [2 per cell]
Hg (0.1331, 0.3669, 0.5000) [4 per cell]
Br (0.2326, 0.2674, 0.0000) [4 per cell]


[5]
Computed, not measured: a relaxed LiHg2Br crystal at the GGA-PBE level of DFT.

distance to the lowest polymorph of the same formula: 258 meV per atom
total moment: 0.0 μB/f.u.

Lattice parameters (Å, degrees): 3.9278 3.9278 23.9885 90.00 90.00 120.00
Space group R-3m (No. 166, hexagonal axes)
One atom of each set of equivalent atoms:
Li (0.0000, 0.0000, 0.0000) [3 per cell]
Hg (0.0000, 0.0000, 0.2578) [6 per cell]
Br (0.0000, 0.0000, 0.5000) [3 per cell]


[6]
Computed, not measured: a relaxed LiHg2Br crystal at the GGA-PBE level of DFT.

distance to the lowest polymorph of the same formula: 0 meV per atom
total moment: 0.0 μB/f.u.

Lattice parameters (Å, degrees): 3.6878 3.6746 9.3087 90.00 101.38 90.00
Space group Pm (No. 6)
One atom of each set of equivalent atoms:
Li (0.0000, 0.0000, 0.0000) [1 per cell]
Hg (0.1695, 0.5000, 0.4033) [1 per cell]
Hg (0.7946, 0.0000, 0.6579) [1 per cell]
Br (0.5061, 0.5000, 0.0152) [1 per cell]


[7]
Computed, not measured: a relaxed LiHgBr crystal at the GGA-PBE level of DFT.

distance to the lowest polymorph of the same formula: 6 meV per atom
total moment: 0.0 μB/f.u.

Lattice parameters (Å, degrees): 3.6816 3.6816 14.1404 90.00 90.00 90.00
Space group I4mm (No. 107)
One atom of each set of equivalent atoms:
Li (0.0000, 0.0000, 0.0000) [2 per cell]
Hg (0.0000, 0.0000, 0.7826) [2 per cell]
Br (0.0000, 0.0000, 0.5141) [2 per cell]


[8]
Computed, not measured: a relaxed LiHg2Br crystal at the GGA-PBE level of DFT.

distance to the lowest polymorph of the same formula: 116 meV per atom
total moment: 0.0 μB/f.u.

Lattice parameters (Å, degrees): 4.0981 4.0981 13.5130 90.00 90.00 90.00
Space group I4/mmm (No. 139)
One atom of each set of equivalent atoms:
Li (0.0000, 0.0000, 0.0000) [2 per cell]
Hg (0.0000, 0.5000, 0.2500) [4 per cell]
Br (0.0000, 0.0000, 0.5000) [2 per cell]


[9]
Computed, not measured: a relaxed LiHgBr crystal at the GGA-PBE level of DFT.

distance to the lowest polymorph of the same formula: 184 meV per atom
total moment: 0.0 μB/f.u.

Lattice parameters (Å, degrees): 6.9559 6.9559 6.9559 90.00 90.00 90.00
Space group F-43m (No. 216)
One atom of each set of equivalent atoms:
Li (0.0000, 0.0000, 0.0000) [4 per cell]
Hg (0.2500, 0.2500, 0.2500) [4 per cell]
Br (0.2500, 0.2500, 0.7500) [4 per cell]


[10]
Computed, not measured: a relaxed Li4HgBr6 crystal at the GGA-PBE level of DFT.

final energy: -125.0 eV for the cell shown
total moment: 0.0 μB/f.u.

Lattice parameters (Å, degrees): 12.3493 7.5192 13.9812 90.00 101.65 90.00
Space group Cc (No. 9)
One atom of each set of equivalent atoms:
Li (0.0000, 0.0501, 0.0000) [4 per cell]
Li (0.1108, 0.2241, 0.7521) [4 per cell]
Li (0.1447, 0.4339, 0.4996) [4 per cell]
Li (0.3316, 0.2173, 0.1698) [4 per cell]
Hg (0.4345, 0.2272, 0.7306) [4 per cell]
Br (0.0068, 0.2586, 0.5756) [4 per cell]
Br (0.1218, 0.4385, 0.3083) [4 per cell]
Br (0.1662, 0.2459, 0.0387) [4 per cell]
Br (0.2810, 0.0245, 0.7903) [4 per cell]
Br (0.3402, 0.2766, 0.5442) [4 per cell]
Br (0.4469, 0.4364, 0.3086) [4 per cell]


[11]
Computed, not measured: a relaxed Li2Hg2Br crystal at the GGA-PBE level of DFT.

final energy: -17.4 eV for the cell shown
total moment: 0.0 μB/f.u.

Lattice parameters (Å, degrees): 7.1424 7.1424 4.8408 90.00 90.00 90.00
Space group P4/mbm (No. 127)
One atom of each set of equivalent atoms:
Li (0.1761, 0.3239, 0.0000) [4 per cell]
Hg (0.1493, 0.6493, 0.5000) [4 per cell]
Br (0.0000, 0.0000, 0.0000) [2 per cell]


[12]
Computed, not measured: a relaxed LiHg2Br crystal at the GGA-PBE level of DFT.

distance to the lowest polymorph of the same formula: 3 meV per atom
total moment: 0.0 μB/f.u.

Lattice parameters (Å, degrees): 19.5031 3.6498 3.6813 90.00 100.76 90.00
Space group C2/m (No. 12)
One atom of each set of equivalent atoms:
Li (0.0000, 0.0000, 0.0000) [2 per cell]
Hg (0.1889, 0.5000, 0.1903) [4 per cell]
Br (0.0000, 0.5000, 0.5000) [2 per cell]